No. 1
DFT (PBE) results for an optimized crystal structure of Rb2AgPdF6.

Properties
The energy above the most stable polymorph in this dataset comes out at 0 meV per atom. The symmetry is Fm-3m. Its magnetization is 1.0 μB/cell. Its raw formation energy is -184.7 kJ/mol of atoms. As for the density: 4.810 g/cm³.

Lattice parameters (Å, degrees): 6.247 6.247 6.247 60.00 60.00 60.00
Atoms (fractional coordinates):
Rb (0.250, 0.250, 0.250)
Rb (0.750, 0.750, 0.750)
Ag (0.500, 0.500, 0.500)
Pd (0.000, 0.000, 0.000)
F (0.238, 0.238, 0.762)
F (0.238, 0.762, 0.762)
F (0.762, 0.762, 0.238)
F (0.238, 0.762, 0.238)
F (0.762, 0.238, 0.762)
F (0.762, 0.238, 0.238)

=====

No. 2
DFT (PBE) results for an optimized crystal structure of K2ReSnO6.

Properties
The symmetry is Fm-3m. Its magnetization is 1.0 μB/cell. Its raw formation energy is -155.3 kJ/mol of atoms. As for the density: 6.083 g/cm³.

Lattice parameters (Å, degrees): 5.697 5.697 5.697 60.01 60.00 90.00
Atoms (fractional coordinates):
K (0.750, 0.250, 0.500)
K (0.250, 0.750, 0.500)
Re (0.500, 0.500, 0.000)
Sn (0.000, 0.000, 0.000)
O (0.259, 0.259, 0.482)
O (0.741, 0.741, 0.000)
O (0.259, 0.741, 0.000)
O (0.741, 0.259, 0.000)
O (0.259, 0.259, 0.000)
O (0.741, 0.741, 0.518)

=====

No. 3
DFT (PBE) results for an optimized crystal structure of ThMnHg.

Properties
The formation enthalpy at 0 K comes out at 0.512 eV/f.u. The symmetry is C2/m. Its magnetization is 6.3 μB/cell. As for the density: 11.604 g/cm³.

Lattice parameters (Å, degrees): 3.431 6.363 6.878 75.36 90.00 105.64
Atoms (fractional coordinates):
Th (0.851, 0.703, 0.592)
Th (0.149, 0.297, 0.408)
Hg (0.152, 0.304, 0.921)
Hg (0.848, 0.696, 0.079)
Mn (0.497, 0.994, 0.219)
Mn (0.503, 0.006, 0.781)